The following is a PBE calculation of a geometry-optimized LaSc2Au structure, from Alexandria via LeMat-Bulk.

Computed properties:
- Formation enthalpy at 0 K: -0.165 eV/atom
- V: 24.7 Å³ per atom
- DFT total energy: -86.1 eV for the cell shown
- Calculated density: 7161 kg/m3
- Energy relative to the lowest polymorph listed for this composition: 0.207 eV/atom
- SG: No. 216

abc: 7.3367 7.3367 7.3367
angles: 90.00 90.00 90.00
Closest atoms and distances in Å follow each position.
Element x y z (fractional)
La 0.0000 0.0000 0.0000  4 Sc 3.18, 4 Au 3.18
La 0.0000 0.5000 0.5000  4 Sc 3.18, 4 Au 3.18
La 0.5000 0.0000 0.5000  4 Sc 3.18, 4 Au 3.18
La 0.5000 0.5000 0.0000  4 Sc 3.18, 4 Au 3.18
Sc 0.0000 0.0000 0.5000  4 Au 3.18, 4 Sc 3.18
Sc 0.0000 0.5000 0.0000  4 Au 3.18, 4 Sc 3.18
Sc 0.2500 0.2500 0.2500  4 La 3.18, 4 Sc 3.18
Sc 0.2500 0.7500 0.7500  4 La 3.18, 4 Sc 3.18
Sc 0.5000 0.0000 0.0000  4 Au 3.18, 4 Sc 3.18
Sc 0.5000 0.5000 0.5000  4 Sc 3.18, 4 Au 3.18
Sc 0.7500 0.2500 0.7500  4 La 3.18, 4 Sc 3.18
Sc 0.7500 0.7500 0.2500  4 La 3.18, 4 Sc 3.18
Au 0.2500 0.2500 0.7500  4 La 3.18, 4 Sc 3.18
Au 0.2500 0.7500 0.2500  4 La 3.18, 4 Sc 3.18
Au 0.7500 0.2500 0.2500  4 La 3.18, 4 Sc 3.18
Au 0.7500 0.7500 0.7500  4 Sc 3.18, 4 La 3.18

The following is a PBE calculation of a geometry-optimized La5ScAu6 structure, from Alexandria via LeMat-Bulk.

Computed properties:
- Formation enthalpy at 0 K: -0.762 eV/atom
- V: 25.7 Å³ per atom
- DFT total energy: -59.8 eV for the cell shown
- Calculated density: 10365 kg/m3
- SG: No. 12

abc: 9.1206 9.1206 5.1953
angles: 106.43 106.43 48.52
Closest atoms and distances in Å follow each position.
Element x y z (fractional)
La 0.0000 0.0000 0.0000  8 Au 3.15-3.37
La 0.1641 0.1641 0.6644  8 Au 3.30-3.37, 4 La 3.65-3.68
La 0.3268 0.3268 0.3266  8 Au 3.13-3.43
La 0.6732 0.6732 0.6734  8 Au 3.13-3.43
La 0.8359 0.8359 0.3356  8 Au 3.30-3.37, 4 La 3.65-3.68
Sc 0.5000 0.5000 0.0000  8 Au 2.96-3.05
Au 0.1186 0.5767 0.8474  1 Sc 2.96, 5 La 3.13-3.30
Au 0.2872 0.7128 0.5000  2 Sc 3.05, 6 La 3.17-3.37, 1 Au 3.19
Au 0.4233 0.8814 0.1526  1 Sc 2.96, 5 La 3.13-3.30
Au 0.5767 0.1186 0.8474  1 Sc 2.96, 5 La 3.13-3.30
Au 0.7128 0.2872 0.5000  2 Sc 3.05, 6 La 3.17-3.37, 1 Au 3.19
Au 0.8814 0.4233 0.1526  1 Sc 2.96, 5 La 3.13-3.30

The following is a PBE calculation of a geometry-optimized LaScAu structure, from Alexandria via LeMat-Bulk.

Computed properties:
- Formation enthalpy at 0 K: 0.212 eV/atom
- V: 28.0 Å³ per atom
- DFT total energy: -55.6 eV for the cell shown
- Calculated density: 7518 kg/m3
- Energy relative to the lowest polymorph listed for this composition: 0.826 eV/atom
- SG: No. 216

abc: 6.9553 6.9553 6.9553
angles: 90.00 90.00 90.00
Closest atoms and distances in Å follow each position.
Element x y z (fractional)
La 0.0000 0.0000 0.0000  4 Sc 3.01, 4 Au 3.01
La 0.0000 0.5000 0.5000  4 Sc 3.01, 4 Au 3.01
La 0.5000 0.0000 0.5000  4 Sc 3.01, 4 Au 3.01
La 0.5000 0.5000 0.0000  4 Sc 3.01, 4 Au 3.01
Sc 0.2500 0.2500 0.2500  4 La 3.01
Sc 0.2500 0.7500 0.7500  4 La 3.01
Sc 0.7500 0.2500 0.7500  4 La 3.01
Sc 0.7500 0.7500 0.2500  4 La 3.01
Au 0.2500 0.2500 0.7500  4 La 3.01
Au 0.2500 0.7500 0.2500  4 La 3.01
Au 0.7500 0.2500 0.2500  4 La 3.01
Au 0.7500 0.7500 0.7500  4 La 3.01

The following is a PBE calculation of a geometry-optimized LaSc2Au structure, from Alexandria via LeMat-Bulk.

Computed properties:
- Formation enthalpy at 0 K: -0.177 eV/atom
- V: 22.9 Å³ per atom
- DFT total energy: -86.3 eV for the cell shown
- Calculated density: 7712 kg/m3
- Energy relative to the lowest polymorph listed for this composition: 0.195 eV/atom
- SG: No. 225

abc: 7.1579 7.1579 7.1579
angles: 90.00 90.00 90.00
Closest atoms and distances in Å follow each position.
Element x y z (fractional)
La 0.0000 0.0000 0.0000  8 Sc 3.10
La 0.0000 0.5000 0.5000  8 Sc 3.10
La 0.5000 0.0000 0.5000  8 Sc 3.10
La 0.5000 0.5000 0.0000  8 Sc 3.10
Sc 0.2500 0.2500 0.2500  4 La 3.10, 4 Au 3.10
Sc 0.2500 0.2500 0.7500  4 La 3.10, 4 Au 3.10
Sc 0.2500 0.7500 0.2500  4 La 3.10, 4 Au 3.10
Sc 0.2500 0.7500 0.7500  4 La 3.10, 4 Au 3.10
Sc 0.7500 0.2500 0.2500  4 La 3.10, 4 Au 3.10
Sc 0.7500 0.2500 0.7500  4 La 3.10, 4 Au 3.10
Sc 0.7500 0.7500 0.2500  4 La 3.10, 4 Au 3.10
Sc 0.7500 0.7500 0.7500  4 Au 3.10, 4 La 3.10
Au 0.0000 0.0000 0.5000  8 Sc 3.10
Au 0.0000 0.5000 0.0000  8 Sc 3.10
Au 0.5000 0.0000 0.0000  8 Sc 3.10
Au 0.5000 0.5000 0.5000  8 Sc 3.10

The following is a PBE calculation of a geometry-optimized LaSc2Au structure, from Alexandria via LeMat-Bulk.

Computed properties:
- Formation enthalpy at 0 K: -0.238 eV/atom
- V: 24.6 Å³ per atom
- DFT total energy: -21.8 eV for the cell shown
- Calculated density: 7198 kg/m3
- Energy relative to the lowest polymorph listed for this composition: 0.134 eV/atom
- SG: No. 47

abc: 3.7337 5.0220 5.2384
angles: 90.00 90.00 90.00
Closest atoms and distances in Å follow each position.
Element x y z (fractional)
La 0.0000 0.0000 0.0000  4 Sc 3.13, 4 Au 3.22
Sc 0.0000 0.5000 0.5000  4 Au 3.13, 4 Sc 3.22
Sc 0.5000 0.5000 0.0000  4 La 3.13, 4 Sc 3.22
Au 0.5000 0.0000 0.5000  4 Sc 3.13, 4 La 3.22

The following is a PBE calculation of a geometry-optimized LaScAu2Se structure, from Alexandria via LeMat-Bulk.

Computed properties:
- V: 34.3 Å³ per atom
- DFT total energy: -21.2 eV for the cell shown
- Calculated density: 6356 kg/m3
- SG: No. 123

abc: 5.5421 5.5421 5.5861
angles: 90.00 90.00 90.00
Closest atoms and distances in Å follow each position.
Element x y z (fractional)
La 0.0000 0.0000 0.0000  4 Au 2.77, 2 Se 2.79
Sc 0.5000 0.5000 0.5000  4 Se 3.92, 8 Au 3.93
Au 0.0000 0.5000 0.0000  2 La 2.77
Au 0.5000 0.0000 0.0000  2 La 2.77
Se 0.0000 0.0000 0.5000  2 La 2.79

The following is a PBE calculation of a geometry-optimized LaScSnAu structure, from Alexandria via LeMat-Bulk.

Computed properties:
- Formation enthalpy at 0 K: -0.653 eV/atom
- V: 25.5 Å³ per atom
- DFT total energy: -84.6 eV for the cell shown
- Calculated density: 8129 kg/m3
- SG: No. 216

abc: 7.4178 7.4178 7.4178
angles: 90.00 90.00 90.00
Closest atoms and distances in Å follow each position.
Element x y z (fractional)
La 0.0000 0.0000 0.0000  4 Sn 3.21, 4 Au 3.21
La 0.0000 0.5000 0.5000  4 Sn 3.21, 4 Au 3.21
La 0.5000 0.0000 0.5000  4 Sn 3.21, 4 Au 3.21
La 0.5000 0.5000 0.0000  4 Sn 3.21, 4 Au 3.21
Sc 0.0000 0.0000 0.5000  4 Sn 3.21, 4 Au 3.21
Sc 0.0000 0.5000 0.0000  4 Sn 3.21, 4 Au 3.21
Sc 0.5000 0.0000 0.0000  4 Sn 3.21, 4 Au 3.21
Sc 0.5000 0.5000 0.5000  4 Sn 3.21, 4 Au 3.21
Sn 0.2500 0.2500 0.7500  4 La 3.21, 4 Sc 3.21
Sn 0.2500 0.7500 0.2500  4 La 3.21, 4 Sc 3.21
Sn 0.7500 0.2500 0.2500  4 La 3.21, 4 Sc 3.21
Sn 0.7500 0.7500 0.7500  4 La 3.21, 4 Sc 3.21
Au 0.2500 0.2500 0.2500  4 La 3.21, 4 Sc 3.21
Au 0.2500 0.7500 0.7500  4 La 3.21, 4 Sc 3.21
Au 0.7500 0.2500 0.7500  4 La 3.21, 4 Sc 3.21
Au 0.7500 0.7500 0.2500  4 La 3.21, 4 Sc 3.21

The following is a PBE calculation of a geometry-optimized LaScTeAu2 structure, from Alexandria via LeMat-Bulk.

Computed properties:
- V: 29.6 Å³ per atom
- DFT total energy: -20.9 eV for the cell shown
- Calculated density: 7902 kg/m3
- SG: No. 123

abc: 5.3113 5.3113 5.2546
angles: 90.00 90.00 90.00
Closest atoms and distances in Å follow each position.
Element x y z (fractional)
La 0.0000 0.0000 0.0000  8 Au 3.74, 4 Sc 3.76
Sc 0.5000 0.5000 0.0000  2 Te 2.63
Te 0.5000 0.5000 0.5000  2 Sc 2.63, 4 Au 2.66
Au 0.0000 0.5000 0.5000  2 Te 2.66
Au 0.5000 0.0000 0.5000  2 Te 2.66

The following is a PBE calculation of a geometry-optimized LaScTlAu structure, from Alexandria via LeMat-Bulk.

Computed properties:
- Formation enthalpy at 0 K: -0.480 eV/atom
- V: 25.8 Å³ per atom
- DFT total energy: -75.3 eV for the cell shown
- Calculated density: 9402 kg/m3
- SG: No. 216

abc: 7.4497 7.4497 7.4497
angles: 90.00 90.00 90.00
Closest atoms and distances in Å follow each position.
Element x y z (fractional)
La 0.0000 0.0000 0.0000  4 Tl 3.23, 4 Au 3.23
La 0.0000 0.5000 0.5000  4 Tl 3.23, 4 Au 3.23
La 0.5000 0.0000 0.5000  4 Tl 3.23, 4 Au 3.23
La 0.5000 0.5000 0.0000  4 Tl 3.23, 4 Au 3.23
Sc 0.0000 0.0000 0.5000  4 Au 3.23, 4 Tl 3.23
Sc 0.0000 0.5000 0.0000  4 Au 3.23, 4 Tl 3.23
Sc 0.5000 0.0000 0.0000  4 Au 3.23, 4 Tl 3.23
Sc 0.5000 0.5000 0.5000  4 Au 3.23, 4 Tl 3.23
Tl 0.2500 0.2500 0.7500  4 La 3.23, 4 Sc 3.23
Tl 0.2500 0.7500 0.2500  4 La 3.23, 4 Sc 3.23
Tl 0.7500 0.2500 0.2500  4 La 3.23, 4 Sc 3.23
Tl 0.7500 0.7500 0.7500  4 La 3.23, 4 Sc 3.23
Au 0.2500 0.2500 0.2500  4 La 3.23, 4 Sc 3.23
Au 0.2500 0.7500 0.7500  4 La 3.23, 4 Sc 3.23
Au 0.7500 0.2500 0.7500  4 La 3.23, 4 Sc 3.23
Au 0.7500 0.7500 0.2500  4 La 3.23, 4 Sc 3.23

The following is a PBE calculation of a geometry-optimized LaTmSc2Au4 structure, from Alexandria via LeMat-Bulk.

Computed properties:
- Formation enthalpy at 0 K: -0.791 eV/atom
- V: 22.9 Å³ per atom
- DFT total energy: -41.5 eV for the cell shown
- Calculated density: 10750 kg/m3
- SG: No. 166

abc: 9.4912 9.4912 9.4912
angles: 29.47 29.47 29.47
Closest atoms and distances in Å follow each position.
Element x y z (fractional)
La 0.0000 0.0000 0.0000  8 Au 3.24
Tm 0.5000 0.5000 0.5000  8 Au 2.88-3.07
Sc 0.2434 0.2434 0.2434  6 Au 2.90
Sc 0.7566 0.7566 0.7566  6 Au 2.90
Au 0.1192 0.1192 0.1192  3 Sc 2.90, 3 Tm 3.07, 3 Au 3.21, 1 La 3.24
Au 0.3940 0.3940 0.3940  1 Tm 2.88, 3 Sc 2.90, 3 Au 3.21
Au 0.6060 0.6060 0.6060  1 Tm 2.88, 3 Sc 2.90, 3 Au 3.21
Au 0.8808 0.8808 0.8808  3 Sc 2.90, 3 Tm 3.07, 3 Au 3.21, 1 La 3.24

The following is a PBE calculation of a geometry-optimized LaTm2ScAu4 structure, from Alexandria via LeMat-Bulk.

Computed properties:
- Formation enthalpy at 0 K: -0.821 eV/atom
- V: 23.2 Å³ per atom
- DFT total energy: -39.9 eV for the cell shown
- Calculated density: 11737 kg/m3
- SG: No. 166

abc: 9.0989 9.0989 9.0989
angles: 31.75 31.75 31.75
Closest atoms and distances in Å follow each position.
Element x y z (fractional)
La 0.0000 0.0000 0.0000  8 Au 3.22-3.36
Tm 0.2447 0.2447 0.2447  7 Au 2.98-3.06
Tm 0.7553 0.7553 0.7553  7 Au 2.98-3.06
Sc 0.5000 0.5000 0.5000  8 Au 2.86-3.03
Au 0.1296 0.1296 0.1296  4 Tm 2.98-3.06, 3 Sc 3.03
Au 0.3897 0.3897 0.3897  1 Sc 2.86, 3 Tm 2.99
Au 0.6103 0.6103 0.6103  1 Sc 2.86, 3 Tm 2.99
Au 0.8704 0.8704 0.8704  4 Tm 2.98-3.06, 3 Sc 3.03

The following is a PBE calculation of a geometry-optimized LaScZn2Au4 structure, from Alexandria via LeMat-Bulk.

Computed properties:
- Formation enthalpy at 0 K: -0.607 eV/atom
- V: 20.3 Å³ per atom
- DFT total energy: -31.8 eV for the cell shown
- Calculated density: 11251 kg/m3
- SG: No. 166

abc: 9.2608 9.2608 9.2608
angles: 28.77 28.77 28.77
Closest atoms and distances in Å follow each position.
Element x y z (fractional)
La 0.0000 0.0000 0.0000  8 Au 3.13-3.35
Sc 0.5000 0.5000 0.5000  8 Au 2.79-2.87
Zn 0.2384 0.2384 0.2384  7 Au 2.78-3.00
Zn 0.7616 0.7616 0.7616  7 Au 2.78-3.00
Au 0.1257 0.1257 0.1257  4 Zn 2.78-3.00, 3 Sc 2.87
Au 0.3951 0.3951 0.3951  1 Sc 2.79, 3 Zn 2.80, 3 La 3.13
Au 0.6049 0.6049 0.6049  1 Sc 2.79, 3 Zn 2.80, 3 La 3.13
Au 0.8743 0.8743 0.8743  4 Zn 2.78-3.00, 3 Sc 2.87